! IrOsBr2 | the Alexandria database | GGA-PBE | relaxed; values from VASP
! formation energy without anion corrections: 20.26 kcal/mol of atoms
! total energy: -4.9808 eV/atom
! relative energy among the computed polymorphs: 1.94 eV per formula unit
! spin magnetization: 0.0 μB per cell
&SYSTEM
  ibrav = 0, nat = 4, ntyp = 3
/
ATOMIC_SPECIES
Ir 192.22 Ir.upf
Os 190.23 Os.upf
Br 79.90 Br.upf
CELL_PARAMETERS angstrom
1.4333 -2.7058 0.0000
1.4333 2.7058 0.0000
0.0000 0.0000 10.4152
ATOMIC_POSITIONS crystal
Ir 0.0000 0.0000 0.0000
Os 0.5000 0.5000 0.7927
Br 0.0000 0.0000 0.5859
Br 0.5000 0.5000 0.2233

---

! TiFeTeI2 | the Alexandria database | GGA-PBE | relaxed; values from VASP
! formation energy without anion corrections: 16.96 kcal/mol of atoms
! total energy: -3.7846 eV/atom
! relative energy among the computed polymorphs: 1.46 eV per formula unit
! spin magnetization: 0.2 μB per cell
&SYSTEM
  ibrav = 0, nat = 5, ntyp = 4
/
ATOMIC_SPECIES
Ti 47.87 Ti.upf
Fe 55.84 Fe.upf
Te 127.60 Te.upf
I 126.90 I.upf
CELL_PARAMETERS angstrom
5.1770 0.0000 0.0000
0.0000 5.1770 0.0000
0.0000 0.0000 5.0155
ATOMIC_POSITIONS crystal
Ti 0.0000 0.0000 0.0000
Fe 0.5000 0.5000 0.5000
Te 0.5000 0.5000 0.0000
I 0.0000 0.5000 0.5000
I 0.5000 0.0000 0.5000

---

! BaCd6Ag12 | the Alexandria database | GGA-PBE | relaxed; values from VASP
! total energy: -2.1687 eV/atom
! spin magnetization: 0.0 μB per cell
&SYSTEM
  ibrav = 0, nat = 19, ntyp = 3
/
ATOMIC_SPECIES
Ba 137.33 Ba.upf
Cd 112.41 Cd.upf
Ag 107.87 Ag.upf
CELL_PARAMETERS angstrom
6.0813 3.5110 3.3261
-6.0813 3.5110 3.3261
0.0000 -7.0221 3.3261
ATOMIC_POSITIONS crystal
Ba 0.0000 0.0000 0.0000
Cd 0.2878 0.2878 0.6939
Cd 0.2878 0.6939 0.2878
Cd 0.3061 0.7122 0.7122
Cd 0.6939 0.2878 0.2878
Cd 0.7122 0.3061 0.7122
Cd 0.7122 0.7122 0.3061
Ag 0.1108 0.5000 0.8892
Ag 0.1108 0.8892 0.5000
Ag 0.1126 0.3742 0.3742
Ag 0.3742 0.1126 0.3742
Ag 0.3742 0.3742 0.1126
Ag 0.5000 0.1108 0.8892
Ag 0.5000 0.8892 0.1108
Ag 0.6258 0.6258 0.8874
Ag 0.6258 0.8874 0.6258
Ag 0.8874 0.6258 0.6258
Ag 0.8892 0.1108 0.5000
Ag 0.8892 0.5000 0.1108

---

Q: Which value of spin magnetization does entry 3 give?
A: 0.0 μB per cell

---

Q: Among the records above, which one has the highest total energy?
A: BaCd6Ag12